Record 1
Material: YAlIn2
Method: DFT, PBE
State: optimized geometry

Output
Magnetic moment (μB/f.u.): 0.00

Cell: 8.147 8.147 6.531 Å, 51.41 51.41 90.00°
Fractional positions:
1 In 0.168 0.625 0.250
2 In 0.875 0.832 0.750
3 In 0.582 0.125 0.250
4 In 0.375 0.418 0.750
5 Al 0.500 0.500 0.000
6 Al 0.250 0.750 0.500
7 Y 0.000 0.000 0.000
8 Y 0.750 0.250 0.500

***

Record 2
Material: Ca2NpH12Rh3
Method: DFT, PBE
State: optimized geometry

Output
Magnetic moment (μB/f.u.): 4.20

Cell: 6.068 6.068 6.068 Å, 66.79 66.79 66.79°
Fractional positions:
1 H 0.719 0.118 0.719
2 H 0.139 0.581 0.139
3 H 0.118 0.719 0.719
4 H 0.281 0.882 0.281
5 H 0.861 0.419 0.861
6 H 0.882 0.281 0.281
7 H 0.719 0.719 0.118
8 H 0.139 0.139 0.581
9 H 0.281 0.281 0.882
10 H 0.861 0.861 0.419
11 H 0.581 0.139 0.139
12 H 0.419 0.861 0.861
13 Rh 0.000 0.500 0.000
14 Rh 0.000 0.000 0.500
15 Rh 0.500 0.000 0.000
16 Ca 0.620 0.620 0.620
17 Ca 0.380 0.380 0.380
18 Np 0.000 0.000 0.000

***

Record 3
Material: PuNiSn2
Method: DFT, PBE
State: optimized geometry

Output
Magnetic moment (μB/f.u.): 6.30

Cell: 3.262 3.262 10.391 Å, 80.97 80.97 60.00°
Fractional positions:
1 Sn 0.895 0.895 0.316
2 Sn 0.105 0.105 0.684
3 Pu 0.000 0.000 0.000
4 Ni 0.500 0.500 0.500

***

Record 4
Material: CaTl2Ga2
Method: DFT, PBE
State: optimized geometry

Output
Magnetic moment (μB/f.u.): 0.00
ΔE to the lowest computed polymorph (eV per atom): 0.074

Cell: 4.638 4.638 7.094 Å, 70.92 70.92 90.00°
Fractional positions:
1 Ca 0.000 0.000 0.000
2 Tl 0.616 0.616 0.767
3 Tl 0.384 0.384 0.233
4 Ga 0.750 0.250 0.500
5 Ga 0.250 0.750 0.500

***

Record 5
Material: LiAc2Ga3Cu4
Method: DFT, PBE
State: optimized geometry

Output
Magnetic moment (μB/f.u.): 0.00

Cell: 4.410 4.410 10.210 Å, 90.00 90.00 90.00°
Fractional positions:
1 Ga 0.500 0.000 0.877
2 Ga 0.000 0.000 0.500
3 Ga 0.000 0.500 0.123
4 Li 0.500 0.500 0.500
5 Cu 0.000 0.000 0.000
6 Cu 0.500 0.500 0.000
7 Cu 0.000 0.500 0.372
8 Cu 0.500 0.000 0.628
9 Ac 0.500 0.000 0.243
10 Ac 0.000 0.500 0.757

***

Record 6
Material: Cd4Pd4Au
Method: DFT, PBE
State: optimized geometry

Output
Magnetic moment (μB/f.u.): 0.00

Cell: 4.127 6.527 6.527 Å, 84.26 71.57 71.57°
Fractional positions:
1 Cd 0.331 0.000 0.338
2 Cd 0.669 0.000 0.662
3 Cd 0.669 0.662 0.000
4 Cd 0.331 0.338 0.000
5 Pd 0.336 0.664 0.664
6 Pd 0.000 0.664 0.336
7 Pd 0.664 0.336 0.336
8 Pd 0.000 0.336 0.664
9 Au 0.000 0.000 0.000

***

Record 7
Material: Pm7Si2O2
Method: DFT, PBE
State: optimized geometry

Output
Magnetic moment (μB/f.u.): 0.00

Cell: 7.174 6.357 7.174 Å, 82.15 120.06 97.85°
Fractional positions:
1 Si 0.161 0.500 0.161
2 Si 0.839 0.500 0.839
3 O 0.806 0.980 0.194
4 O 0.194 0.020 0.806
5 Pm 0.471 0.755 0.037
6 Pm 0.000 0.000 0.000
7 Pm 0.529 0.245 0.963
8 Pm 0.037 0.245 0.471
9 Pm 0.963 0.755 0.529
10 Pm 0.457 0.731 0.543
11 Pm 0.543 0.269 0.457

***

Record 8
Material: Mg3RhN
Method: DFT, PBE
State: optimized geometry

Output
Magnetic moment (μB/f.u.): 1.94
ΔE to the lowest computed polymorph (eV per atom): 1.316

Cell: 4.908 4.908 4.908 Å, 90.00 90.00 90.00°
Fractional positions:
1 Mg 0.000 0.000 0.500
2 Mg 0.000 0.500 0.000
3 Mg 0.500 0.000 0.000
4 N 0.500 0.500 0.500
5 Rh 0.000 0.000 0.000

***

Record 9
Material: TbTcN2
Method: DFT, PBE
State: optimized geometry

Output
Magnetic moment (μB/f.u.): 1.69
ΔE to the lowest computed polymorph (eV per atom): 0.182

Cell: 3.322 3.322 5.412 Å, 72.13 72.13 60.00°
Fractional positions:
1 N 0.261 0.261 0.216
2 N 0.739 0.739 0.784
3 Tb 0.500 0.500 0.500
4 Tc 0.000 0.000 0.000

***

Record 10
Material: Mn5In3Se12
Method: DFT, PBE
State: optimized geometry

Output
Magnetic moment (μB/f.u.): 15.99

Cell: 13.616 13.616 13.616 Å, 109.47 109.47 109.47°
Fractional positions:
1 Se 0.201 0.675 0.074
2 Se 0.127 0.701 0.526
3 Se 0.873 0.574 0.899
4 Se 0.574 0.873 0.399
5 Se 0.325 0.799 0.426
6 Se 0.926 0.101 0.627
7 Se 0.373 0.399 0.074
8 Se 0.399 0.026 0.325
9 Se 0.426 0.127 0.601
10 Se 0.601 0.627 0.426
11 Se 0.926 0.825 0.799
12 Se 0.127 0.426 0.101
13 Se 0.899 0.074 0.873
14 Se 0.026 0.627 0.701
15 Se 0.399 0.373 0.574
16 Se 0.175 0.101 0.974
17 Se 0.074 0.899 0.373
18 Se 0.627 0.601 0.926
19 Se 0.101 0.175 0.474
20 Se 0.799 0.325 0.926
21 Se 0.825 0.926 0.299
22 Se 0.074 0.175 0.201
23 Se 0.825 0.899 0.026
24 Se 0.299 0.873 0.974
25 Se 0.526 0.325 0.899
26 Se 0.201 0.526 0.627
27 Se 0.325 0.526 0.399
28 Se 0.526 0.201 0.127
29 Se 0.974 0.601 0.175
30 Se 0.675 0.474 0.601
31 Se 0.701 0.574 0.175
32 Se 0.299 0.426 0.825
33 Se 0.627 0.026 0.201
34 Se 0.101 0.926 0.127
35 Se 0.675 0.201 0.574
36 Se 0.026 0.399 0.825
37 Se 0.601 0.974 0.675
38 Se 0.899 0.825 0.526
39 Se 0.373 0.974 0.799
40 Se 0.574 0.701 0.675
41 Se 0.426 0.299 0.325
42 Se 0.474 0.675 0.101
43 Se 0.474 0.799 0.873
44 Se 0.873 0.299 0.474
45 Se 0.175 0.074 0.701
46 Se 0.974 0.373 0.299
47 Se 0.799 0.474 0.373
48 Se 0.701 0.127 0.026
49 Mn 0.500 0.000 0.500
50 Mn 0.000 0.000 0.500
51 Mn 0.875 0.625 0.750
52 Mn 0.500 0.500 0.500
53 Mn 0.500 0.500 0.000
54 Mn 0.250 0.875 0.125
55 Mn 0.125 0.750 0.375
56 Mn 0.000 0.500 0.500
57 Mn 0.125 0.375 0.250
58 Mn 0.000 0.500 0.000
59 Mn 0.250 0.375 0.625
60 Mn 0.375 0.125 0.750
61 Mn 0.750 0.625 0.375
62 Mn 0.750 0.125 0.875
63 Mn 0.875 0.250 0.625
64 Mn 0.625 0.875 0.250
65 Mn 0.000 0.000 0.000
66 Mn 0.375 0.250 0.125
67 Mn 0.500 0.000 0.000
68 Mn 0.625 0.750 0.875
69 In 0.875 0.750 0.125
70 In 0.125 0.875 0.750
71 In 0.375 0.750 0.625
72 In 0.625 0.375 0.750
73 In 0.375 0.625 0.250
74 In 0.750 0.875 0.625
75 In 0.625 0.250 0.375
76 In 0.250 0.125 0.375
77 In 0.125 0.250 0.875
78 In 0.875 0.125 0.250
79 In 0.750 0.375 0.125
80 In 0.250 0.625 0.875

***

Record 11
Material: Ca2CeHoBi4
Method: DFT, PBE
State: optimized geometry

Output
Magnetic moment (μB/f.u.): 0.00

Cell: 4.590 7.907 7.898 Å, 109.76 90.00 90.00°
Fractional positions:
1 Bi 0.000 0.256 0.762
2 Bi 0.500 0.752 0.761
3 Bi 0.500 0.248 0.239
4 Bi 0.000 0.744 0.238
5 Ho 0.500 0.500 0.000
6 Ce 0.000 0.000 0.000
7 Ca 0.000 0.500 0.500
8 Ca 0.500 0.000 0.500

***

Record 12
Material: Ba3GeBi
Method: DFT, PBE
State: optimized geometry

Output
Magnetic moment (μB/f.u.): 0.00
ΔE to the lowest computed polymorph (eV per atom): 0.199

Cell: 6.245 6.245 6.245 Å, 90.00 90.00 90.00°
Fractional positions:
1 Ba 0.500 0.000 0.000
2 Ba 0.000 0.500 0.000
3 Ba 0.000 0.000 0.500
4 Ge 0.000 0.000 0.000
5 Bi 0.500 0.500 0.500

***

Short version: E_tot = -4.070; -4.692; -6.902; -2.616; -3.886; -3.371; -5.945; -3.169; -8.608; -5.094; -4.505; -3.290 eV/atom, in the order given.